{"formula": "Hf2ScCo", "functional": "PBE", "state": "relaxed", "cell": [[0.000, 3.340, 3.340], [3.340, 0.000, 3.340], [3.340, 3.340, 0.000]], "species": ["Hf", "Hf", "Sc", "Co"], "frac_coords": [[0.000, 0.000, 0.000], [0.250, 0.250, 0.250], [0.500, 0.500, 0.500], [0.750, 0.750, 0.750]], "total_magnetization_mub_per_cell": 0.8, "final_energy_ev_per_atom": -8.132, "spacegroup": "F-43m"}



{"formula": "TlZn2C3", "functional": "PBE", "state": "relaxed", "cell": [[5.267, 0.000, 0.000], [-2.634, 4.561, 0.000], [0.000, 0.000, 3.249]], "species": ["Tl", "Zn", "Zn", "C", "C", "C"], "frac_coords": [[0.000, 0.000, 0.000], [0.333, 0.667, 0.000], [0.667, 0.333, 0.000], [0.000, 0.500, 0.500], [0.500, 0.000, 0.500], [0.500, 0.500, 0.500]], "final_energy_ev_per_atom": -3.467, "spacegroup": "P6/mmm"}



{"formula": "Gd3In2SnIr2Pd", "functional": "PBE", "state": "relaxed", "cell": [[3.961, 0.000, 0.000], [0.000, 6.569, 3.789], [0.000, -6.569, 3.789]], "species": ["Gd", "Gd", "Gd", "In", "In", "Sn", "Ir", "Ir", "Pd"], "frac_coords": [[0.000, 0.000, 0.000], [0.000, 0.171, 0.585], [0.000, 0.585, 0.171], [0.500, 0.586, 0.843], [0.500, 0.843, 0.586], [0.500, 0.329, 0.329], [0.500, 0.253, 0.923], [0.500, 0.923, 0.253], [0.000, 0.582, 0.582]], "total_magnetization_mub_per_cell": 0.0, "final_energy_ev_per_atom": -5.928, "spacegroup": "Amm2"}



{"formula": "KPaAl", "functional": "PBE", "state": "relaxed", "cell": [[0.000, 3.712, 3.712], [3.712, 0.000, 3.712], [3.712, 3.712, 0.000]], "species": ["K", "Pa", "Al"], "frac_coords": [[0.000, 0.000, 0.000], [0.500, 0.500, 0.500], [0.250, 0.250, 0.250]], "total_magnetization_mub_per_cell": 1.1, "final_energy_ev_per_atom": -3.610, "de_polymorph_mev_per_atom": 0.0, "spacegroup": "F-43m"}